--- i ---
Entry from Alexandria via LeMat-Bulk: an optimized crystal structure of V2IrBr (PBE).

Results
The calculation puts the theoretical density at 10.3 Mg/m³. The total magnetization comes out at 0.00 μB/atom. Its space group is No. 225.

```
4
Lattice="0.0000 3.1083 3.1083 3.1083 0.0000 3.1083 3.1083 3.1083 0.0000" Properties=species:S:1:pos:R:3 pbc="T T T"
V 1.5541 1.5541 1.5541
V 4.6624 4.6624 4.6624
Br 0.0000 0.0000 0.0000
Ir 3.1083 3.1083 3.1083
```

---

--- ii ---
Entry from Alexandria via LeMat-Bulk: an optimized crystal structure of V2IrBr (PBE).

Results
The calculation puts the theoretical density at 6.8 Mg/m³. The total magnetization comes out at 0.85 μB/atom. Its space group is No. 122.

```
8
Lattice="5.8512 0.0000 0.0000 0.0000 5.8512 0.0000 2.9256 2.9256 5.3165" Properties=species:S:1:pos:R:3 pbc="T T T"
V 7.3140 7.4788 3.9874
V 1.2980 4.3884 1.3291
V 4.5532 1.4628 1.3291
V 4.3884 4.2236 3.9874
Ir 5.8512 2.9256 2.6583
Ir 0.0000 0.0000 0.0000
Br 2.9256 2.9256 0.0000
Br 2.9256 5.8512 2.6583
```

---

i is preferred energetically. Next in line: 0.071 eV/atom higher.

---

--- i ---
Entry from Alexandria via LeMat-Bulk: an optimized crystal structure of IrWBr (PBE).

Results
The calculation puts the theoretical density at 13.9 Mg/m³. The total magnetization comes out at 0.00 μB/atom. Its space group is No. 42.

```
3
Lattice="-1.7257 6.8840 -3.3564 -3.0097 4.8533 -4.9850 -1.5615 1.4750 1.9520" Properties=species:S:1:pos:R:3 pbc="T T T"
W -3.6926 8.3656 -4.9595
Ir -2.5605 4.7053 -1.2881
Br -1.6052 1.6165 1.8102
```

---

--- ii ---
Entry from Alexandria via LeMat-Bulk: an optimized crystal structure of IrWBr (PBE).

Results
The calculation puts the theoretical density at 12.7 Mg/m³. The total magnetization comes out at 0.00 μB/atom. Its space group is No. 107.

```
3
Lattice="7.0751 0.1383 0.0000 5.7479 4.1278 0.0000 -6.4115 -2.1330 2.1022" Properties=species:S:1:pos:R:3 pbc="T T T"
Br 0.4858 0.1616 0.0000
Ir 3.7119 1.2349 0.0000
W 8.6254 2.8696 0.0000
```

---

--- iii ---
Entry from Alexandria via LeMat-Bulk: an optimized crystal structure of IrWBr (PBE).

Results
The calculation puts the theoretical density at 15.3 Mg/m³. The total magnetization comes out at 0.00 μB/atom. Its space group is No. 187.

```
3
Lattice="-0.8423 3.1052 -3.0286 -3.2946 -1.6768 2.4203 0.4212 2.0767 2.0121" Properties=species:S:1:pos:R:3 pbc="T T T"
W -2.1259 1.6491 2.2820
Br 0.3507 1.7293 1.6755
Ir -1.5193 2.2034 -0.5416
```

---

ii is preferred energetically. Next in line: 0.322 eV/atom higher.